# PBE SrH2SN, optimized geometry
data_SrH2SN
_cell_length_a 3.807
_cell_length_b 3.807
_cell_length_c 3.852
_cell_angle_alpha 90.00
_cell_angle_beta 90.00
_cell_angle_gamma 90.00
_symmetry_space_group_name_H-M 'P 4/m m m'
_symmetry_Int_Tables_number 123
_symmetry_space_group_name_Hall '-P 4 2'
loop_
_atom_site_label
_atom_site_fract_x
_atom_site_fract_y
_atom_site_fract_z
_atom_site_occupancy
Sr1 0.000 0.000 0.000 1
H1 0.000 0.500 0.500 1
S1 0.500 0.500 0.500 1
N1 0.500 0.500 0.000 1
# Fermi-level density of states: 1.301 states/eV per cell
# energy above the most stable polymorph in this dataset: 0 meV per atom